The following is a PBE calculation of an optimized crystal structure of Ac3Ga2NiPd6, from the Alexandria database.

Values from the calculation:
The calculation puts the size of the total moment at 0.00 μB/atom. As for the space group: P-3m1, No. 164. The calculation puts the density of states at the Fermi level at 6.55 states/eV/f.u. As for the calculated formation energy: -618 meV/atom. The value obtained for the raw total energy is -5.23 eV/atom.

abc: 5.810 5.810 9.189
angles: 90.00 90.00 120.00
Fractional positions:
Pd 0.662 0.831 0.285
Pd 0.169 0.338 0.285
Pd 0.169 0.831 0.285
Pd 0.831 0.169 0.715
Pd 0.831 0.662 0.715
Pd 0.338 0.169 0.715
Ga 0.333 0.667 0.063
Ga 0.667 0.333 0.937
Ac 0.000 0.000 0.000
Ac 0.667 0.333 0.388
Ac 0.333 0.667 0.612
Ni 0.000 0.000 0.500